Density functional theory data (PBE-GGA) for crystalline PmInP at its relaxed geometry.

Formation enthalpy at 0 K ... -0.7673 eV per atom
Calculated density ... 5.69 g/cm³
Magnetic moment ... 0.000 μB/atom

a b c (Å): 4.9075 4.9075 8.6146
angles (deg): 73.45 73.45 60.00
Sites, in units of the cell vectors:
P1 0.2831 0.2831 0.1506
P2 0.7169 0.7169 0.8494
Pm1 0.3974 0.3974 0.8078
Pm2 0.6026 0.6026 0.1922
In1 0.8249 0.8249 0.5253
In2 0.1751 0.1751 0.4747